[1]
{
  "formula": "CaInFe2",
  "functional": "PBE",
  "state": "optimized geometry",
  "vol_a3_per_atom": 19.73,
  "n_ef_per_ev_atom": 0.758,
  "crystal_system": "tetragonal",
  "sg": "P4/mmm (123)",
  "formation_energy_ev_per_atom": 0.35,
  "cell": [[3.495, 0.000, 0.000], [0.000, 3.495, 0.000], [0.000, 0.000, 6.460]],
  "species": ["Ca", "In", "Fe", "Fe"],
  "fractional_positions": [[0.000, 0.000, 0.000], [0.000, 0.000, 0.500], [0.500, 0.500, 0.322], [0.500, 0.500, 0.678]]
}

[2]
{
  "formula": "LiHoBe17",
  "functional": "PBE",
  "state": "optimized geometry",
  "vol_a3_per_atom": 9.67,
  "n_ef_per_ev_atom": 0.112,
  "crystal_system": "trigonal",
  "sg": "R3m (160)",
  "formation_energy_ev_per_atom": -0.04,
  "cell": [[3.794, 2.190, 3.686], [-3.794, 2.190, 3.686], [0.000, -4.380, 3.686]],
  "species": ["Li", "Ho", "Be", "Be", "Be", "Be", "Be", "Be", "Be", "Be", "Be", "Be", "Be", "Be", "Be", "Be", "Be", "Be", "Be"],
  "fractional_positions": [[0.000, 0.000, 0.000], [0.683, 0.683, 0.683], [0.001, 0.001, 0.484], [0.001, 0.484, 0.001], [0.055, 0.336, 0.628], [0.055, 0.628, 0.336], [0.181, 0.680, 0.680], [0.243, 0.243, 0.243], [0.336, 0.055, 0.628], [0.336, 0.628, 0.055], [0.348, 0.348, 0.834], [0.348, 0.834, 0.348], [0.436, 0.436, 0.436], [0.484, 0.001, 0.001], [0.628, 0.055, 0.336], [0.628, 0.336, 0.055], [0.680, 0.181, 0.680], [0.680, 0.680, 0.181], [0.834, 0.348, 0.348]]
}